Here is a relaxed structure of SbTe from Alexandria. Energies are from GGA-PBE.

a b c (Å): 4.0447 4.0447 4.3282
angles (deg): 90.00 90.00 120.00
Space group P-6m2 (No. 187)
One atom of each set of equivalent atoms:
Sb  0.0000  0.0000  0.0000
Te  0.6667  0.3333  0.5000

Results
The calculation puts the formation energy without anion corrections at 0.12 eV per atom.

---

Here is a relaxed structure of Nd6Y3HoTm2 from Alexandria. Energies are from GGA-PBE.

a b c (Å): 6.270 10.858 11.828
angles (deg): 90.00 100.15 90.00
Space group C2/m (No. 12)
One atom of each set of equivalent atoms:
Nd  0.250  0.000  0.248
Nd  0.250  0.167  0.752
Y  0.000  0.000  0.500
Y  0.000  0.333  0.500
Ho  0.000  0.500  0.000
Tm  0.000  0.167  0.000

Results
For the energy of formation from the pure elements, the calculation gives 0.01 eV per atom.

---

Here is a relaxed structure of ReNi2Hg from Alexandria. Energies are from GGA-PBE.

a b c (Å): 2.7881 2.7881 26.1657
angles (deg): 90.00 90.00 120.00
Space group R3m (No. 160, hexagonal axes)
One atom of each set of equivalent atoms:
Re  0.0000  0.0000  0.0000
Ni  0.0000  0.0000  0.2589
Ni  0.0000  0.0000  0.5189
Hg  0.0000  0.0000  0.7655

Results
For the energy of formation from the pure elements, the calculation gives 0.45 eV per atom.

---

Here is a relaxed structure of HfTi3Fe4 from Alexandria. Energies are from GGA-PBE.

a b c (Å): 4.247 4.247 5.999
angles (deg): 90.00 90.00 90.00
Space group P4/mmm (No. 123)
One atom of each set of equivalent atoms:
Hf  0.000  0.000  0.000
Ti  0.000  0.000  0.500
Ti  0.500  0.500  0.000
Ti  0.500  0.500  0.500
Fe  0.000  0.500  0.258

Results
For the energy of formation from the pure elements, the calculation gives -0.36 eV per atom.

---

| no. | M_tot (μB/f.u.) |
| --- | --- |
| 1 | 0.00 |
| 2 | 0.00 |
| 3 | 0.01 |
| 4 | 0.00 |